## Rb2DyTlBr6 (GGA-PBE)

Data for a relaxed Rb2DyTlBr6 crystal.

Summary:
SG	P2_1/c
M_tot	0.0	μB per cell
density of states at the Fermi level	0.000	states/eV/cell
formation energy (no corrections)	-1661	meV/atom

```
data_Rb2DyTlBr6
_cell_length_a 8.0585
_cell_length_b 8.5594
_cell_length_c 14.0858
_cell_angle_alpha 90.00
_cell_angle_beta 124.48
_cell_angle_gamma 90.00
_space_group_name_H-M_alt 'P 1'
_space_group_IT_number 1
loop_
_space_group_symop_operation_xyz
'x,y,z'
loop_
_atom_site_label
_atom_site_type_symbol
_atom_site_fract_x
_atom_site_fract_y
_atom_site_fract_z
Rb1 Rb 0.2211 0.0765 0.2490
Rb2 Rb 0.2211 0.4235 0.7490
Rb3 Rb 0.7789 0.5765 0.2510
Rb4 Rb 0.7789 0.9235 0.7510
Dy1 Dy 0.5000 0.0000 0.0000
Dy2 Dy 0.5000 0.5000 0.5000
Tl1 Tl 0.0000 0.0000 0.5000
Tl2 Tl 0.0000 0.5000 0.0000
Br1 Br 0.1635 0.1775 0.9469
Br2 Br 0.1635 0.3225 0.4469
Br3 Br 0.2689 0.7236 0.9377
Br4 Br 0.2689 0.7764 0.4377
Br5 Br 0.3857 0.0378 0.7721
Br6 Br 0.3857 0.4622 0.2721
Br7 Br 0.6143 0.5378 0.7279
Br8 Br 0.6143 0.9622 0.2279
Br9 Br 0.7311 0.2236 0.5623
Br10 Br 0.7311 0.2764 0.0623
Br11 Br 0.8365 0.6775 0.5531
Br12 Br 0.8365 0.8225 0.0531
```



## Dy4ReBr5 (GGA-PBE)

Data for a relaxed Dy4ReBr5 crystal.

Summary:
SG	C2/m
M_tot	0.0	μB per cell
density of states at the Fermi level	3.621	states/eV/cell
formation energy (no corrections)	-1203	meV/atom

```
data_Dy4ReBr5
_cell_length_a 9.4328
_cell_length_b 9.4328
_cell_length_c 9.1848
_cell_angle_alpha 103.96
_cell_angle_beta 103.96
_cell_angle_gamma 23.35
_space_group_name_H-M_alt 'P 1'
_space_group_IT_number 1
loop_
_space_group_symop_operation_xyz
'x,y,z'
loop_
_atom_site_label
_atom_site_type_symbol
_atom_site_fract_x
_atom_site_fract_y
_atom_site_fract_z
Dy1 Dy 0.0021 0.0021 0.2345
Dy2 Dy 0.3566 0.3566 0.9250
Dy3 Dy 0.6434 0.6434 0.0750
Dy4 Dy 0.9979 0.9979 0.7655
Re1 Re 0.5000 0.5000 0.0000
Br1 Br 0.1685 0.1685 0.3219
Br2 Br 0.1727 0.1727 0.8510
Br3 Br 0.5000 0.5000 0.5000
Br4 Br 0.8273 0.8273 0.1490
Br5 Br 0.8315 0.8315 0.6781
```



## Dy3RhBr3 (GGA-PBE)

Data for a relaxed Dy3RhBr3 crystal.

Summary:
SG	P2_1/m
M_tot	0.0	μB per cell
density of states at the Fermi level	5.555	states/eV/cell
formation energy (no corrections)	-1355	meV/atom

```
data_Dy3RhBr3
_cell_length_a 8.5543
_cell_length_b 4.0795
_cell_length_c 11.8697
_cell_angle_alpha 90.00
_cell_angle_beta 91.56
_cell_angle_gamma 90.00
_space_group_name_H-M_alt 'P 1'
_space_group_IT_number 1
loop_
_space_group_symop_operation_xyz
'x,y,z'
loop_
_atom_site_label
_atom_site_type_symbol
_atom_site_fract_x
_atom_site_fract_y
_atom_site_fract_z
Dy1 Dy 0.1005 0.2500 0.3287
Dy2 Dy 0.1462 0.2500 0.8628
Dy3 Dy 0.2705 0.7500 0.1025
Dy4 Dy 0.7295 0.2500 0.8975
Dy5 Dy 0.8538 0.7500 0.1372
Dy6 Dy 0.8995 0.7500 0.6713
Rh1 Rh 0.0560 0.2500 0.0968
Rh2 Rh 0.9440 0.7500 0.9032
Br1 Br 0.1333 0.2500 0.5993
Br2 Br 0.3420 0.7500 0.3573
Br3 Br 0.4313 0.7500 0.8695
Br4 Br 0.5687 0.2500 0.1305
Br5 Br 0.6580 0.2500 0.6427
Br6 Br 0.8667 0.7500 0.4007
```



## Dy2RhBr (GGA-PBE)

Data for a relaxed Dy2RhBr crystal.

Summary:
SG	R-3m
M_tot	0.0	μB per cell
density of states at the Fermi level	0.894	states/eV/cell
formation energy (no corrections)	-1091	meV/atom

```
data_Dy2RhBr
_cell_length_a 7.9853
_cell_length_b 7.9853
_cell_length_c 7.9853
_cell_angle_alpha 28.98
_cell_angle_beta 28.98
_cell_angle_gamma 28.98
_space_group_name_H-M_alt 'P 1'
_space_group_IT_number 1
loop_
_space_group_symop_operation_xyz
'x,y,z'
loop_
_atom_site_label
_atom_site_type_symbol
_atom_site_fract_x
_atom_site_fract_y
_atom_site_fract_z
Dy1 Dy 0.2310 0.2310 0.2310
Dy2 Dy 0.7690 0.7690 0.7690
Rh1 Rh 0.5000 0.5000 0.5000
Br1 Br 0.0000 0.0000 0.0000
```



## Dy2RhBr2 (GGA-PBE)

Data for a relaxed Dy2RhBr2 crystal.

Summary:
SG	C2/m
M_tot	0.0	μB per cell
density of states at the Fermi level	3.268	states/eV/cell
formation energy (no corrections)	-1318	meV/atom

```
data_Dy2RhBr2
_cell_length_a 3.9561
_cell_length_b 3.9561
_cell_length_c 11.4843
_cell_angle_alpha 100.93
_cell_angle_beta 100.93
_cell_angle_gamma 60.02
_space_group_name_H-M_alt 'P 1'
_space_group_IT_number 1
loop_
_space_group_symop_operation_xyz
'x,y,z'
loop_
_atom_site_label
_atom_site_type_symbol
_atom_site_fract_x
_atom_site_fract_y
_atom_site_fract_z
Dy1 Dy 0.2191 0.2191 0.1432
Dy2 Dy 0.7809 0.7809 0.8568
Rh1 Rh 0.5000 0.5000 0.0000
Br1 Br 0.0515 0.0515 0.6855
Br2 Br 0.9485 0.9485 0.3145
```



## DyRhBr (GGA-PBE)

Data for a relaxed DyRhBr crystal.

Summary:
SG	R-3m
M_tot	0.0	μB per cell
density of states at the Fermi level	1.546	states/eV/cell
formation energy (no corrections)	-1213	meV/atom

```
data_DyRhBr
_cell_length_a 10.9047
_cell_length_b 10.9047
_cell_length_c 10.9047
_cell_angle_alpha 22.52
_cell_angle_beta 22.52
_cell_angle_gamma 22.52
_space_group_name_H-M_alt 'P 1'
_space_group_IT_number 1
loop_
_space_group_symop_operation_xyz
'x,y,z'
loop_
_atom_site_label
_atom_site_type_symbol
_atom_site_fract_x
_atom_site_fract_y
_atom_site_fract_z
Dy1 Dy 0.0560 0.0560 0.0560
Dy2 Dy 0.9440 0.9440 0.9440
Rh1 Rh 0.3348 0.3348 0.3348
Rh2 Rh 0.6652 0.6652 0.6652
Br1 Br 0.2216 0.2216 0.2216
Br2 Br 0.7784 0.7784 0.7784
```



## Dy2RhBr (GGA-PBE)

Data for a relaxed Dy2RhBr crystal.

Summary:
SG	Cm
M_tot	0.0	μB per cell
density of states at the Fermi level	0.105	states/eV/cell
formation energy (no corrections)	-1092	meV/atom

```
data_Dy2RhBr
_cell_length_a 4.0448
_cell_length_b 4.0448
_cell_length_c 7.9821
_cell_angle_alpha 90.16
_cell_angle_beta 90.16
_cell_angle_gamma 59.98
_space_group_name_H-M_alt 'P 1'
_space_group_IT_number 1
loop_
_space_group_symop_operation_xyz
'x,y,z'
loop_
_atom_site_label
_atom_site_type_symbol
_atom_site_fract_x
_atom_site_fract_y
_atom_site_fract_z
Dy1 Dy 0.0000 0.0000 0.0000
Dy2 Dy 0.6652 0.6652 0.6357
Rh1 Rh 0.3327 0.3327 0.8257
Br1 Br 0.9979 0.9979 0.3727
```



## Dy2RhBr (GGA-PBE)

Data for a relaxed Dy2RhBr crystal.

Summary:
SG	R3m
M_tot	0.0	μB per cell
density of states at the Fermi level	0.283	states/eV/cell
formation energy (no corrections)	-1074	meV/atom

```
data_Dy2RhBr
_cell_length_a 8.0515
_cell_length_b 8.0515
_cell_length_c 8.0515
_cell_angle_alpha 28.72
_cell_angle_beta 28.72
_cell_angle_gamma 28.72
_space_group_name_H-M_alt 'P 1'
_space_group_IT_number 1
loop_
_space_group_symop_operation_xyz
'x,y,z'
loop_
_atom_site_label
_atom_site_type_symbol
_atom_site_fract_x
_atom_site_fract_y
_atom_site_fract_z
Dy1 Dy 0.0000 0.0000 0.0000
Dy2 Dy 0.2062 0.2062 0.2062
Rh1 Rh 0.6036 0.6036 0.6036
Br1 Br 0.7743 0.7743 0.7743
```



Question: Look up the formation energy (no corrections) of the second one.
Answer: -1203 meV/atom